The following is a GGA-PBEsol calculation of a relaxed CuAs2Br crystal, from Alexandria.

Unit cell a=3.0462 b=4.5297 c=5.3027 alpha=90.00 beta=90.00 gamma=90.00
Last column: nearest neighbours and their distance in Å.
Fractional positions:
Br: 0.5000 0.5000 0.0000  4 As 2.73, 2 Br 3.05
Cu: 0.0000 0.5000 0.5000  4 As 2.73, 2 Cu 3.05
As: 0.5000 0.0000 0.5000  4 Cu 2.73, 2 As 3.05
As: 0.0000 0.0000 0.0000  4 Br 2.73, 2 As 3.05

Properties
Symmetry   No. 47
Energy relative to the elements, uncorrected   0.470 eV/atom
Magnetic moment   0.00 μB per formula unit

=====

The following is a GGA-PBEsol calculation of a relaxed Sr2HfCrO6 crystal, from Alexandria.

Unit cell a=5.5683 b=5.5683 c=5.5683 alpha=60.00 beta=60.00 gamma=60.00
Last column: nearest neighbours and their distance in Å.
Fractional positions:
Sr: 0.7500 0.7500 0.7500  12 O 2.79
Hf: 0.0000 0.0000 0.0000  6 O 2.04
Cr: 0.5000 0.5000 0.5000  6 O 1.90
O: 0.2592 0.7408 0.7408  1 Cr 1.90, 1 Hf 2.04
O: 0.7408 0.2592 0.2592  1 Cr 1.90, 1 Hf 2.04
Sr: 0.2500 0.2500 0.2500  12 O 2.79
O: 0.2592 0.7408 0.2592  1 Cr 1.90, 1 Hf 2.04
O: 0.2592 0.2592 0.7408  1 Cr 1.90, 1 Hf 2.04
O: 0.7408 0.7408 0.2592  1 Cr 1.90, 1 Hf 2.04
O: 0.7408 0.2592 0.7408  1 Cr 1.90, 1 Hf 2.04

Properties
Symmetry   No. 225
Energy relative to the elements, uncorrected   -2.926 eV/atom
Magnetic moment   2.00 μB per formula unit

=====

The following is a GGA-PBEsol calculation of a relaxed IrPdI2N crystal, from Alexandria.

Unit cell a=3.6469 b=5.4642 c=5.4642 alpha=90.00 beta=90.00 gamma=90.00
Last column: nearest neighbours and their distance in Å.
Fractional positions:
I: 0.0000 0.0000 0.5000  2 Ir 2.73
Ir: 0.0000 0.0000 0.0000  2 N 1.82
Pd: 0.5000 0.5000 0.5000  8 I 3.28, 2 Pd 3.65
N: 0.5000 0.0000 0.0000  2 Ir 1.82
I: 0.0000 0.5000 0.0000  2 Ir 2.73

Properties
Symmetry   No. 123
Energy relative to the elements, uncorrected   0.561 eV/atom
Magnetic moment   0.00 μB per formula unit